(1)
DFT (PBE) results for CaHgRh2 after structural relaxation.

Cell lengths 3.415, 3.415, 6.443 Å; angles 90.00, 90.00, 90.00 degrees
Atoms (fractional coordinates):
1 Ca 0.000 0.000 0.000
2 Hg 0.000 0.000 0.500
3 Rh 0.500 0.500 0.272
4 Rh 0.500 0.500 0.728

Values from the calculation:
Space group: P4/mmm (123)

---

(2)
DFT (PBE) results for TbB2Rh7 after structural relaxation.

Cell lengths 6.349, 6.349, 4.141 Å; angles 90.00, 90.00, 113.50 degrees
Atoms (fractional coordinates):
1 Tb 0.000 0.000 0.000
2 B 0.297 0.703 0.500
3 B 0.703 0.297 0.500
4 Rh 0.055 0.326 0.500
5 Rh 0.298 0.702 0.000
6 Rh 0.326 0.055 0.500
7 Rh 0.500 0.500 0.500
8 Rh 0.674 0.945 0.500
9 Rh 0.702 0.298 0.000
10 Rh 0.945 0.674 0.500

Values from the calculation:
Space group: Cmmm (65)

---

(3)
DFT (PBE) results for Cd7Hg2Pb3 after structural relaxation.

Cell lengths 10.147, 10.147, 10.147 Å; angles 35.24, 35.24, 35.24 degrees
Atoms (fractional coordinates):
1 Cd 0.000 0.000 0.000
2 Cd 0.088 0.088 0.579
3 Cd 0.088 0.579 0.088
4 Cd 0.421 0.912 0.912
5 Cd 0.579 0.088 0.088
6 Cd 0.912 0.421 0.912
7 Cd 0.912 0.912 0.421
8 Hg 0.166 0.166 0.166
9 Hg 0.834 0.834 0.834
10 Pb 0.357 0.357 0.357
11 Pb 0.500 0.500 0.500
12 Pb 0.643 0.643 0.643

Values from the calculation:
Space group: R-3m (166)
Relative energy among the computed polymorphs in meV per atom: 3

---

| no. | formation enthalpy at 0 K (eV per atom) |
| --- | --- |
| 1 | -0.06 |
| 2 | -0.09 |
| 3 | 0.05 |